<a>
First-principles (SCAN) data for a PBEsol-optimized structure of TcOsRh2, as listed in the Alexandria database.

## Properties
As for the density of states at the Fermi level: 0.9243 states/eV per atom.

```
TcOsRh2
1.0
2.6833 0.0000 0.0000
0.0000 2.6833 0.0000
0.0000 0.0000 7.6289
Tc Os Rh
1 1 2
Cartesian
0.0000 0.0000 0.0000
1.3416 1.3416 1.9169
0.0000 0.0000 3.7986
1.3416 1.3416 5.7621
```



<b>
First-principles (SCAN) data for a PBEsol-optimized structure of TcOsRh2, as listed in the Alexandria database.

## Properties
As for the density of states at the Fermi level: 0.8636 states/eV per atom.

```
TcOsRh2
1.0
3.7603 0.0000 0.0000
0.0000 3.7603 0.0000
0.0000 0.0000 7.7146
Tc Os Rh
2 2 4
Cartesian
0.0000 0.0000 0.0000
1.8802 1.8802 3.8573
0.0000 0.0000 3.8573
1.8802 1.8802 0.0000
0.0000 1.8802 1.9286
0.0000 1.8802 5.7859
1.8802 0.0000 1.9286
1.8802 0.0000 5.7859
```



Energy relative to the most stable one, in eV/atom: <a> 0.000; <b> 0.026